Computed, not measured: an optimized crystal structure of BaCaTe at the GGA-PBE level of DFT.

a b c (Å): 4.5816 4.5816 7.6591
angles (deg): 90.00 90.00 120.00
Space group P3m1 (No. 156)
One atom of each set of equivalent atoms:
Ba1 0.0000 0.0000 0.0000
Ca1 0.6667 0.3333 0.4741
Te1 0.3333 0.6667 0.7015

## Properties
The calculation puts the size of the total moment at 0.08 μB per cell. The calculated volume comes out at 46.41 Å³/atom. The relative energy among the computed polymorphs is 0 meV per atom. For the raw formation energy, the calculation gives -990.8 meV per atom.